No. 1
## LaEr2Ir (PBE)

Data for a relaxed structure of LaEr2Ir.

Cell: 7.2984 9.3877 6.4914 Å, 90.00 90.00 90.00°
Last column: nearest neighbours and their distance in Å.
Space group Pnma (No. 62)
Asymmetric unit:
La (0.0396, 0.2500, 0.1351)  2 Ir 2.80-3.04
Er (0.1734, 0.0659, 0.6667)  2 Ir 2.83-2.87
Ir (0.1212, 0.7500, 0.4338)  2 La 2.80-3.04, 4 Er 2.83-2.87

* formation energy from the elements: -0.568 eV per atom
* offset from the most stable computed form: 0 meV per atom
* size of the total moment: 0.00 μB per formula unit
* DFT total energy: -6.30 eV/atom

=====

No. 2
## La2ErIr (PBE)

Data for a relaxed structure of La2ErIr.

Cell: 7.3447 10.0665 6.4394 Å, 90.00 90.00 90.00°
Last column: nearest neighbours and their distance in Å.
Space group Pnma (No. 62)
Asymmetric unit:
La (0.1768, 0.0669, 0.1748)  2 Ir 2.95-2.98
Er (0.0405, 0.2500, 0.6584)  2 Ir 2.80-2.81
Ir (0.1233, 0.7500, 0.9491)  2 Er 2.80-2.81, 4 La 2.95-2.98

* formation energy from the elements: -0.505 eV per atom
* offset from the most stable computed form: 0 meV per atom
* size of the total moment: 0.00 μB per formula unit
* DFT total energy: -6.32 eV/atom

=====

No. 3
## LaEr2Ir (PBE)

Data for a relaxed structure of LaEr2Ir.

Cell: 3.8020 3.8020 31.5159 Å, 90.00 90.00 120.00°
Last column: nearest neighbours and their distance in Å.
Space group R-3m (No. 166, hexagonal axes)
Asymmetric unit:
La (0.0000, 0.0000, 0.0000)  2 Er 3.66, 6 La 3.80
Er (0.0000, 0.0000, 0.1161)  3 Ir 2.71
Ir (0.0000, 0.0000, 0.5000)  6 Er 2.71

* formation energy from the elements: -0.232 eV per atom
* offset from the most stable computed form: 336 meV per atom
* size of the total moment: 0.00 μB per formula unit
* DFT total energy: -5.96 eV/atom

=====

No. 4
## La2ErIr (PBE)

Data for a relaxed structure of La2ErIr.

Cell: 3.8870 3.8870 31.8778 Å, 90.00 90.00 120.00°
Last column: nearest neighbours and their distance in Å.
Space group R-3m (No. 166, hexagonal axes)
Asymmetric unit:
La (0.0000, 0.0000, 0.1121)  3 Ir 2.84
Er (0.0000, 0.0000, 0.0000)  2 La 3.57, 6 Er 3.89
Ir (0.0000, 0.0000, 0.5000)  6 La 2.84

* formation energy from the elements: -0.111 eV per atom
* offset from the most stable computed form: 394 meV per atom
* size of the total moment: 0.00 μB per formula unit
* DFT total energy: -5.93 eV/atom

=====

No. 5
## La2Er3Ir2 (PBE)

Data for a relaxed structure of La2Er3Ir2.

Cell: 12.3498 3.8372 9.1184 Å, 90.00 116.85 90.00°
Last column: nearest neighbours and their distance in Å.
Space group C2/m (No. 12)
Asymmetric unit:
La (0.1674, 0.0000, 0.3037)  2 Ir 2.91
Er (0.0000, 0.5000, 0.5000)  4 Ir 2.98
Er (0.1216, 0.5000, 0.9273)  3 Ir 2.81-2.93
Ir (0.1732, 0.0000, 0.7429)  5 Er 2.81-2.98, 2 La 2.91

* formation energy from the elements: -0.622 eV per atom
* size of the total moment: 0.00 μB per formula unit
* DFT total energy: -6.52 eV/atom

=====

No. 6
## La3ErIr (PBE)

Data for a relaxed structure of La3ErIr.

Cell: 5.6684 5.6684 5.6684 Å, 90.00 90.00 90.00°
Last column: nearest neighbours and their distance in Å.
Space group Pm-3m (No. 221)
Asymmetric unit:
La (0.0000, 0.0000, 0.5000)  2 Ir 2.83
Er (0.5000, 0.5000, 0.5000)  12 La 4.01
Ir (0.0000, 0.0000, 0.0000)  6 La 2.83

* formation energy from the elements: -0.196 eV per atom
* size of the total moment: 0.00 μB per formula unit
* DFT total energy: -5.84 eV/atom

=====

Copy entry 6 word for word.
## La3ErIr (PBE)

Data for a relaxed structure of La3ErIr.

Cell: 5.6684 5.6684 5.6684 Å, 90.00 90.00 90.00°
Last column: nearest neighbours and their distance in Å.
Space group Pm-3m (No. 221)
Asymmetric unit:
La (0.0000, 0.0000, 0.5000)  2 Ir 2.83
Er (0.5000, 0.5000, 0.5000)  12 La 4.01
Ir (0.0000, 0.0000, 0.0000)  6 La 2.83

* formation energy from the elements: -0.196 eV per atom
* size of the total moment: 0.00 μB per formula unit
* DFT total energy: -5.84 eV/atom